No. 1
# PBE InSnMoIr2, relaxed
data_InSnMoIr2
_cell_length_a 4.879
_cell_length_b 4.879
_cell_length_c 5.240
_cell_angle_alpha 90.00
_cell_angle_beta 90.00
_cell_angle_gamma 90.00
_space_group_name_H-M_alt 'P 4/m m m'
_space_group_IT_number 123
_space_group_name_Hall '-P 4 2'
loop_
_atom_site_label
_atom_site_fract_x
_atom_site_fract_y
_atom_site_fract_z
In1 0.000 0.000 0.000
Sn1 0.000 0.000 0.500
Mo1 0.500 0.500 0.000
Ir1 0.000 0.500 0.500
# ΔH_f (0 K)	1.856	eV/atom


No. 2
# PBE Si2NiIr, relaxed
data_Si2NiIr
_cell_length_a 2.763
_cell_length_b 4.958
_cell_length_c 7.850
_cell_angle_alpha 90.00
_cell_angle_beta 90.00
_cell_angle_gamma 90.00
_space_group_name_H-M_alt 'C m m m'
_space_group_IT_number 65
_space_group_name_Hall '-C 2 2'
loop_
_atom_site_label
_atom_site_fract_x
_atom_site_fract_y
_atom_site_fract_z
Si1 0.000 0.000 0.240
Ni1 0.000 0.500 0.000
Ir1 0.000 0.500 0.500
# uncorrected formation energy	-0.100	eV per atom


No. 3
# PBE Zn2CrCo, relaxed
data_Zn2CrCo
_cell_length_a 3.763
_cell_length_b 3.763
_cell_length_c 7.257
_cell_angle_alpha 90.00
_cell_angle_beta 90.00
_cell_angle_gamma 90.00
_space_group_name_H-M_alt 'I -4 m 2'
_space_group_IT_number 119
_space_group_name_Hall 'I -4 -2'
loop_
_atom_site_label
_atom_site_fract_x
_atom_site_fract_y
_atom_site_fract_z
Zn1 0.000 0.000 0.000
Zn2 0.000 0.500 0.250
Cr1 0.000 0.000 0.500
Co1 0.000 0.500 0.750
# ΔH_f (0 K)	0.162	eV/atom


No. 4
# PBE LaReW2, relaxed
data_LaReW2
_cell_length_a 6.651
_cell_length_b 6.651
_cell_length_c 6.651
_cell_angle_alpha 90.00
_cell_angle_beta 90.00
_cell_angle_gamma 90.00
_space_group_name_H-M_alt 'F -4 3 m'
_space_group_IT_number 216
_space_group_name_Hall 'F -4 2 3'
loop_
_atom_site_label
_atom_site_fract_x
_atom_site_fract_y
_atom_site_fract_z
La1 0.000 0.000 0.000
Re1 0.250 0.250 0.250
W1 0.000 0.000 0.500
W2 0.250 0.250 0.750
# ΔH_f (0 K)	0.653	eV/atom